Crystalline B2H4I3 at its relaxed geometry. Source: the Alexandria database, functional PBE.

a b c (Å): 18.7044 9.5547 5.5806
angles (deg): 90.00 92.48 90.00
With the nearest neighbours (Å) after each atom.
Space group C2/c (No. 15)
Symmetry-distinct sites (fractional):
B 0.2099 0.2160 0.0507 x8  3 H 1.19-1.33
H 0.1882 0.1048 0.9841 x8  1 B 1.19
H 0.2231 0.2959 0.8625 x8  2 B 1.33
I 0.0000 0.0440 0.7500 x4  2 I 2.91
I 0.1478 0.3330 0.3009 x8  1 B 2.17

Final energy ... -3.559 eV/atom
V ... 996.4 Å³ per cell